Below is a relaxed Ta4Ni crystal, with properties calculated at the PBE level.

Formation energy from the elements   161 meV/atom
Electronic total energy   -313.042 eV/cell

Cell lengths 9.8487, 9.8487, 5.3492 Å; angles 90.00, 90.00, 90.00 degrees
Closest atoms and distances in Å follow each position.
Space group P4_2/mnm (No. 136)
Unique sites:
Ta1 0.0407 0.3612 0.0000  1 Ni 2.66, 5 Ta 2.81-2.86
Ta2 0.0669 0.2617 0.5000  1 Ni 2.66, 9 Ta 2.71-2.94
Ta3 0.1739 0.8261 0.2463  6 Ta 2.63-2.94, 1 Ni 2.78
Ni1 0.0000 0.0000 0.5000  8 Ta 2.66-2.78
Ni2 0.0974 0.0974 0.0000  2 Ta 2.66, 1 Ni 2.71



Below is a relaxed Ta5Ni crystal, with properties calculated at the PBE level.

Energy above the lowest structure with this stoichiometry   0.010 eV/atom
Formation energy from the elements   43 meV/atom
Electronic total energy   -258.291 eV/cell

Cell lengths 5.3675, 5.3675, 16.7909 Å; angles 90.00, 90.00, 120.00 degrees
Closest atoms and distances in Å follow each position.
Space group P6_3/mmc (No. 194)
Unique sites:
Ta1 0.0000 0.0000 0.0942  13 Ta 3.03-3.25, 3 Ni 3.15
Ta2 0.0000 0.5000 0.0000  2 Ni 2.63, 4 Ta 2.68
Ta3 0.1639 0.3278 0.2500  2 Ni 2.61, 4 Ta 2.64-2.73
Ta4 0.3333 0.6667 0.6534  13 Ta 3.01-3.25, 3 Ni 3.13
Ni1 0.3333 0.6667 0.1263  6 Ta 2.61-2.63